# 1
First-principles (PBE) data for a relaxed structure of Al2TeOs, as listed in the Alexandria database.

Output
- N(E_F): 0.5521 states/eV per atom
- Uncorrected formation energy: 0.406 eV per atom

Unit cell a=4.4735 b=4.4735 c=3.4972 alpha=90.00 beta=90.00 gamma=90.00
Fractional positions:
Al 0.0000 0.5000 0.0000
Al 0.5000 0.0000 0.0000
Te 0.0000 0.0000 0.5000
Os 0.5000 0.5000 0.5000

# 2
First-principles (PBE) data for a relaxed structure of AlTeOs4, as listed in the Alexandria database.

Output
- N(E_F): 1.1902 states/eV per atom
- Uncorrected formation energy: 0.824 eV per atom

Unit cell a=5.2448 b=5.2448 c=5.2448 alpha=60.00 beta=60.00 gamma=60.00
Fractional positions:
Al 0.0000 0.0000 0.0000
Te 0.2500 0.2500 0.2500
Os 0.1246 0.6251 0.6251
Os 0.6251 0.1246 0.6251
Os 0.6251 0.6251 0.1246
Os 0.6251 0.6251 0.6251

# 3
First-principles (PBE) data for a relaxed structure of Al2TeOs, as listed in the Alexandria database.

Output
- N(E_F): 0.5452 states/eV per atom
- Uncorrected formation energy: 0.008 eV per atom

Unit cell a=6.7649 b=6.7649 c=6.7649 alpha=154.12 beta=144.29 gamma=44.63
Fractional positions:
Al 0.0000 0.0000 0.0000
Al 0.6592 0.1592 0.5000
Te 0.3538 0.3538 0.0000
Os 0.1646 0.6646 0.5000

How do the records compare in magnetization? In the order shown, they have 0.27 0.00 0.00 μB per cell.